No. 1
Entry from the Alexandria database: an optimized crystal structure of Re7B3 (GGA-PBE).

Calculated values
energy relative to the elements = -0.22 eV per atom
magnetization = 0.000 μB/cell
symmetry = P6_3mc (186)

Cell lengths 7.5443, 7.5443, 4.9465 Å; angles 90.00, 90.00, 120.00 degrees
Last column: nearest neighbours and their distance in Å.
Fractional positions:
1 Re 0.2451 0.1225 0.7504  3 B 2.21-2.23
2 Re 0.8775 0.7549 0.7504  3 B 2.21-2.23
3 Re 0.6667 0.3333 0.5901  3 B 2.24
4 Re 0.5453 0.4547 0.0493  2 B 2.27
5 Re 0.9094 0.4547 0.0493  2 B 2.27
6 Re 0.8775 0.1225 0.7504  3 B 2.21-2.23
7 Re 0.1225 0.8775 0.2504  3 B 2.21-2.23
8 Re 0.0906 0.5453 0.5493  2 B 2.27
9 Re 0.4547 0.9094 0.5493  2 B 2.27
10 Re 0.4547 0.5453 0.5493  2 B 2.27
11 Re 0.5453 0.0906 0.0493  2 B 2.27
12 Re 0.1225 0.2451 0.2504  3 B 2.21-2.23
13 Re 0.3333 0.6667 0.0901  3 B 2.24
14 Re 0.7549 0.8775 0.2504  3 B 2.21-2.23
15 B 0.1901 0.8099 0.8410  6 Re 2.21-2.27
16 B 0.6198 0.8099 0.8410  6 Re 2.21-2.27
17 B 0.8099 0.6198 0.3410  6 Re 2.21-2.27
18 B 0.8099 0.1901 0.3410  6 Re 2.21-2.27
19 B 0.1901 0.3802 0.8410  6 Re 2.21-2.27
20 B 0.3802 0.1901 0.3410  6 Re 2.21-2.27

---

No. 2
Entry from the Alexandria database: an optimized crystal structure of Re4B (GGA-PBE).

Calculated values
energy relative to the elements = 0.21 eV per atom
distance to the lowest polymorph of the same formula = 5.57 kcal/mol of atoms
magnetization = 0.000 μB/cell
symmetry = Pm-3m (221)

Cell lengths 4.0956, 4.0956, 4.0956 Å; angles 90.00, 90.00, 90.00 degrees
Last column: nearest neighbours and their distance in Å.
Fractional positions:
1 Re 0.5000 0.5000 0.0000  2 B 2.05
2 Re 0.0000 0.5000 0.5000  2 B 2.05
3 Re 0.0000 0.0000 0.0000  12 Re 2.90
4 Re 0.5000 0.0000 0.5000  2 B 2.05
5 B 0.5000 0.5000 0.5000  6 Re 2.05